# 1
! CaCo2RhC, optimized geometry, DFT PBE; values from VASP
&SYSTEM
  ibrav = 0, nat = 5, ntyp = 4
/
ATOMIC_SPECIES
C 12.01 C.upf
Co 58.93 Co.upf
Rh 102.91 Rh.upf
Ca 40.08 Ca.upf
ATOMIC_POSITIONS crystal
C 0.0000 0.0000 0.0000
Co 0.5000 0.0000 0.0000
Co 0.0000 0.5000 0.0000
Rh 0.0000 0.0000 0.5000
Ca 0.5000 0.5000 0.5000
CELL_PARAMETERS angstrom
3.9210 0.0000 0.0000
0.0000 3.9210 0.0000
0.0000 0.0000 4.1692
! Formation energy from the elements in kJ/mol of atoms: -1
! Crystal system: tetragonal
! DFT total energy in eV per atom: -6.56
! V in Å³ per atom: 12.819

---

# 2
! CaCoRh2C, optimized geometry, DFT PBE; values from VASP
&SYSTEM
  ibrav = 0, nat = 5, ntyp = 4
/
ATOMIC_SPECIES
Rh 102.91 Rh.upf
Ca 40.08 Ca.upf
Co 58.93 Co.upf
C 12.01 C.upf
ATOMIC_POSITIONS crystal
Rh 0.0000 0.5000 0.0000
Rh 0.5000 0.0000 0.0000
Ca 0.5000 0.5000 0.5000
Co 0.0000 0.0000 0.5000
C 0.0000 0.0000 0.0000
CELL_PARAMETERS angstrom
-2.1373 -0.4180 3.5670
3.4514 -1.3871 1.9055
0.9328 3.6814 0.9903
! Formation energy from the elements in kJ/mol of atoms: -13
! Crystal system: tetragonal
! DFT total energy in eV per atom: -6.74
! V in Å³ per atom: 13.711

---

# 3
! Ca2CoCSe, optimized geometry, DFT PBE; values from VASP
&SYSTEM
  ibrav = 0, nat = 5, ntyp = 4
/
ATOMIC_SPECIES
Ca 40.08 Ca.upf
Se 78.96 Se.upf
Co 58.93 Co.upf
C 12.01 C.upf
ATOMIC_POSITIONS crystal
Ca 0.0000 0.5000 0.0000
Ca 0.5000 0.0000 0.0000
Se 0.5000 0.5000 0.5000
Co 0.0000 0.0000 0.5000
C 0.0000 0.0000 0.0000
CELL_PARAMETERS angstrom
-2.7773 -2.9565 -3.1060
4.2860 -1.7980 -2.1210
0.0960 -2.6855 2.4705
! Energy above the lowest structure with this stoichiometry in meV per atom: 0.0
! ΔE_f (raw) in eV per atom: -0.572
! Crystal system: tetragonal
! DFT total energy in eV per atom: -5.34
! V in Å³ per atom: 19.055

---

# 4
! Ca2CoCSe, optimized geometry, DFT PBE; values from VASP
&SYSTEM
  ibrav = 0, nat = 5, ntyp = 4
/
ATOMIC_SPECIES
Ca 40.08 Ca.upf
Co 58.93 Co.upf
Se 78.96 Se.upf
C 12.01 C.upf
ATOMIC_POSITIONS crystal
Ca 0.5000 0.0000 0.0000
Ca 0.0000 0.0000 0.5000
Co 0.0000 0.0000 0.0000
Se 0.0000 0.5000 0.0000
C 0.5000 0.5000 0.5000
CELL_PARAMETERS angstrom
5.3007 0.0000 0.0000
0.0000 4.2182 0.0000
0.0000 0.0000 5.3007
! Energy above the lowest structure with this stoichiometry in meV per atom: 1188.1
! ΔE_f (raw) in eV per atom: 0.616
! Crystal system: tetragonal
! DFT total energy in eV per atom: -4.15
! V in Å³ per atom: 23.704

---

# 5
! Ca2CoTeC, optimized geometry, DFT PBE; values from VASP
&SYSTEM
  ibrav = 0, nat = 5, ntyp = 4
/
ATOMIC_SPECIES
Te 127.60 Te.upf
Ca 40.08 Ca.upf
Co 58.93 Co.upf
C 12.01 C.upf
ATOMIC_POSITIONS crystal
Te 0.5000 0.5000 0.5000
Ca 0.0000 0.5000 0.0000
Ca 0.5000 0.0000 0.0000
Co 0.0000 0.0000 0.5000
C 0.0000 0.0000 0.0000
CELL_PARAMETERS angstrom
-2.5641 -4.5710 0.2720
2.4970 -1.6570 -4.3083
2.7206 -1.4002 2.1154
! ΔE_f (raw) in eV per atom: -0.425
! Crystal system: tetragonal
! DFT total energy in eV per atom: -5.12
! V in Å³ per atom: 20.490

---

# 6
! Ca2TlCoC, optimized geometry, DFT PBE; values from VASP
&SYSTEM
  ibrav = 0, nat = 5, ntyp = 4
/
ATOMIC_SPECIES
Ca 40.08 Ca.upf
Co 58.93 Co.upf
Tl 204.38 Tl.upf
C 12.01 C.upf
ATOMIC_POSITIONS crystal
Ca 0.5000 0.0000 0.0000
Ca 0.0000 0.5000 0.0000
Co 0.0000 0.0000 0.5000
Tl 0.5000 0.5000 0.5000
C 0.0000 0.0000 0.0000
CELL_PARAMETERS angstrom
-3.7614 -1.3815 3.3368
-3.2195 -0.9005 -4.0019
1.1584 -3.5016 -0.1440
! Formation energy from the elements in kJ/mol of atoms: -8
! Crystal system: tetragonal
! DFT total energy in eV per atom: -4.63
! V in Å³ per atom: 20.073